# Hf2ZrIn | the Alexandria database | PBE | relaxed
# Calculated density = 10.2 g/cm³
# N(E_F) = 12.9 states/eV/cell
# ΔH_f (0 K) = -43 meV per atom
data_Hf2ZrIn
_symmetry_space_group_name_H-M 'R 3 m'
_symmetry_Int_Tables_number 160
_symmetry_space_group_name_Hall 'R 3 -2"'
_cell_length_a 3.2316
_cell_length_b 3.2316
_cell_length_c 30.4564
_cell_angle_alpha 90.00
_cell_angle_beta 90.00
_cell_angle_gamma 120.00
loop_
_atom_site_label
_atom_site_fract_x
_atom_site_fract_y
_atom_site_fract_z
Hf1 0.0000 0.0000 0.0000
Hf2 0.0000 0.0000 0.1681
Zr1 0.0000 0.0000 0.5842
In1 0.0000 0.0000 0.4174